# 1
Density functional theory data (GGA-PBEsol) for TlAsPt2Au after structural relaxation.

Summary:
Calculated volume   24.56 A^3/atom
N(E_F)   3.2 states/eV per cell
Formation enthalpy at 0 K   1.430 eV/atom
Space group   No. 123
DFT total energy   -3.69 eV per atom

a = 4.9635 Å, b = 4.9635 Å, c = 4.9852 Å
α = 90.00°, β = 90.00°, γ = 90.00°
Last column: nearest neighbours and their distance in Å.
Positions (direct):
1 Pt 0.0000 0.5000 0.0000  2 Tl 2.48
2 As 0.5000 0.5000 0.5000  4 Au 3.51, 8 Pt 3.52
3 Au 0.0000 0.0000 0.5000  2 Tl 2.49
4 Pt 0.5000 0.0000 0.0000  2 Tl 2.48
5 Tl 0.0000 0.0000 0.0000  4 Pt 2.48, 2 Au 2.49

=====

# 2
Density functional theory data (GGA-PBEsol) for Zn2AsPtAu after structural relaxation.

Summary:
Calculated volume   19.72 A^3/atom
N(E_F)   1.7 states/eV per cell
Formation enthalpy at 0 K   0.550 eV/atom
Space group   No. 123
DFT total energy   -3.28 eV per atom

a = 4.6380 Å, b = 4.6112 Å, c = 4.6112 Å
α = 90.00°, β = 90.00°, γ = 90.00°
Last column: nearest neighbours and their distance in Å.
Positions (direct):
1 As 0.0000 0.0000 0.0000  4 Zn 2.31, 2 Pt 2.32
2 Au 0.5000 0.5000 0.5000  4 Pt 3.26, 8 Zn 3.27
3 Pt 0.5000 0.0000 0.0000  2 As 2.32
4 Zn 0.0000 0.0000 0.5000  2 As 2.31
5 Zn 0.0000 0.5000 0.0000  2 As 2.31

=====

# 3
Density functional theory data (GGA-PBEsol) for RbAsAu2 after structural relaxation.

Summary:
Calculated volume   32.32 A^3/atom
N(E_F)   0.0 states/eV per cell
Formation enthalpy at 0 K   -0.248 eV/atom
Space group   No. 141
DFT total energy   -3.74 eV per atom

a = 5.7373 Å, b = 5.7373 Å, c = 8.8412 Å
α = 108.93°, β = 108.93°, γ = 90.00°
Last column: nearest neighbours and their distance in Å.
Positions (direct):
1 Rb 0.2500 0.7500 0.5000  8 Au 3.76, 4 As 4.06
2 Au 0.1250 0.3750 0.7500  2 As 2.43
3 As 0.7500 0.2500 0.5000  4 Au 2.43
4 Au 0.6250 0.3750 0.7500  2 As 2.43
5 As 0.5000 0.5000 0.0000  4 Au 2.43
6 Au 0.6250 0.3750 0.2500  2 As 2.43
7 Au 0.6250 0.8750 0.2500  2 As 2.43
8 Rb 0.0000 0.0000 0.0000  8 Au 3.76, 4 As 4.06

=====

# 4
Density functional theory data (GGA-PBEsol) for Re2AsAu after structural relaxation.

Summary:
Calculated volume   15.31 A^3/atom
N(E_F)   3.0 states/eV per cell
Formation enthalpy at 0 K   0.498 eV/atom
Space group   No. 10
DFT total energy   -8.43 eV per atom

a = 2.9472 Å, b = 3.9863 Å, c = 5.3906 Å
α = 90.00°, β = 104.83°, γ = 90.00°
Last column: nearest neighbours and their distance in Å.
Positions (direct):
1 Re 0.8685 0.0000 0.2325  2 As 2.45
2 As 0.5000 0.5000 0.0000  4 Re 2.45, 2 Au 2.70
3 Re 0.1315 0.0000 0.7675  2 As 2.45
4 Au 0.5000 0.5000 0.5000  2 As 2.70, 8 Re 2.83-2.85, 2 Au 2.95

=====

# 5
Density functional theory data (GGA-PBEsol) for ReAsAu4 after structural relaxation.

Summary:
Calculated volume   18.17 A^3/atom
N(E_F)   3.9 states/eV per cell
Formation enthalpy at 0 K   0.862 eV/atom
Space group   No. 216
DFT total energy   -4.83 eV per atom

a = 5.3625 Å, b = 5.3625 Å, c = 5.3625 Å
α = 60.00°, β = 60.00°, γ = 60.00°
Last column: nearest neighbours and their distance in Å.
Positions (direct):
1 As 0.0000 0.0000 0.0000  12 Au 3.14, 4 Re 3.28
2 Re 0.2500 0.2500 0.2500  12 Au 3.14, 4 As 3.28
3 Au 0.6248 0.6248 0.6248  6 Au 2.68-2.69
4 Au 0.6248 0.1257 0.6248  6 Au 2.68-2.69
5 Au 0.1257 0.6248 0.6248  6 Au 2.68-2.69
6 Au 0.6248 0.6248 0.1257  6 Au 2.68-2.69

=====

# 6
Density functional theory data (GGA-PBEsol) for AsRhAu2 after structural relaxation.

Summary:
Calculated volume   16.07 A^3/atom
N(E_F)   2.1 states/eV per cell
Formation enthalpy at 0 K   0.139 eV/atom
Space group   No. 119
DFT total energy   -5.13 eV per atom

a = 4.0431 Å, b = 4.0431 Å, c = 4.8622 Å
α = 114.57°, β = 114.57°, γ = 90.00°
Last column: nearest neighbours and their distance in Å.
Positions (direct):
1 As 0.2500 0.7500 0.5000  4 Rh 2.82, 8 Au 2.82-2.86
2 Au 0.7500 0.2500 0.5000  4 Rh 2.82, 4 Au 2.82, 4 As 2.86
3 Rh 0.5000 0.5000 0.0000  8 Au 2.82-2.86, 4 As 2.82
4 Au 0.0000 0.0000 0.0000  4 Au 2.82, 4 As 2.82, 4 Rh 2.86